1.
DFT (PBE) results for Ta2RhW after structural relaxation.

## Properties
Size of the total moment (μB per formula unit): 0.00
DFT formation energy (meV per atom): -112
SG: No. 123
N(E_F) (states/eV/f.u.): 3.61

a = 2.800 Å, b = 2.800 Å, c = 8.523 Å
α = 90.00°, β = 90.00°, γ = 90.00°
Sites, in units of the cell vectors:
Ta (0.000, 0.000, 0.230)
Ta (0.000, 0.000, 0.770)
Rh (0.500, 0.500, 0.000)
W (0.500, 0.500, 0.500)

=====

2.
DFT (PBE) results for Ta2RhW after structural relaxation.

## Properties
Size of the total moment (μB per formula unit): 0.00
DFT formation energy (meV per atom): 586
SG: No. 71
N(E_F) (states/eV/f.u.): 4.26

a = 5.898 Å, b = 5.898 Å, c = 5.898 Å
α = 152.57°, β = 130.51°, γ = 57.51°
Sites, in units of the cell vectors:
Ta (0.237, 0.237, 0.000)
Ta (0.763, 0.763, 0.000)
Rh (0.000, 0.000, 0.000)
W (0.500, 0.500, 0.000)

=====

3.
DFT (PBE) results for Ta2RhW after structural relaxation.

## Properties
Size of the total moment (μB per formula unit): 0.00
DFT formation energy (meV per atom): 91
SG: No. 160
N(E_F) (states/eV/f.u.): 3.60

a = 9.736 Å, b = 9.736 Å, c = 9.736 Å
α = 16.83°, β = 16.83°, γ = 16.83°
Sites, in units of the cell vectors:
Ta (0.000, 0.000, 0.000)
Ta (0.243, 0.243, 0.243)
Rh (0.496, 0.496, 0.496)
W (0.754, 0.754, 0.754)